This record from Alexandria describes a relaxed structure of BiAsBr2F. The functional is GGA-PBE.

Cell and atoms, written as POSCAR:
```
BiAsBr2F
1.0
5.6261 0.0000 0.0000
0.0000 5.6261 0.0000
0.0000 0.0000 5.8670
Bi As Br F
1 1 2 1
direct
0.0000 0.0000 0.0000
0.0000 0.0000 0.5000
0.0000 0.5000 0.0000
0.5000 0.0000 0.0000
0.5000 0.5000 0.5000
```

Values from the calculation:
Formation energy without anion corrections (eV/atom): 0.09
Crystal system: tetragonal
Calculated total energy (eV per atom): -2.662
Mass density (Mg/m³): 4.14
SG: P4/mmm, No. 123
Offset from the most stable computed form (meV/atom): 191